one | The following is a DFT calculation (PBE) of CuTcRu after structural relaxation.

## Properties
The calculation puts the volume at 13.73 Å³ per atom. Its symmetry is I4mm (107). The calculation puts the total magnetic moment at 0.0 μB per cell.

POSCAR file:
```
CuTcRu
1.0
-1.396 1.396 5.288
1.396 -1.396 5.288
1.396 1.396 -5.288
Cu Tc Ru
1 1 1
Direct
0.000 0.000 0.000 Cu
0.672 0.672 0.000 Tc
0.330 0.330 0.000 Ru
```

---

two | The following is a DFT calculation (PBE) of CuTcRu after structural relaxation.

## Properties
The calculation puts the volume at 16.17 Å³ per atom. Its symmetry is F-43m (216). The calculation puts the total magnetic moment at 0.0 μB per cell.

POSCAR file:
```
CuTcRu
1.0
0.000 2.895 2.895
2.895 0.000 2.895
2.895 2.895 0.000
Cu Tc Ru
1 1 1
Direct
0.000 0.000 0.000 Cu
0.500 0.500 0.500 Tc
0.250 0.250 0.250 Ru
```

---

three | The following is a DFT calculation (PBE) of CuTcRu after structural relaxation.

## Properties
The calculation puts the volume at 13.54 Å³ per atom. Its symmetry is Imm2 (44). The calculation puts the total magnetic moment at 0.0 μB per cell.

POSCAR file:
```
CuTcRu
1.0
-1.373 1.857 3.982
1.373 -1.857 3.982
1.373 1.857 -3.982
Cu Tc Ru
1 1 1
Direct
0.000 0.000 0.000 Cu
0.331 0.331 0.000 Tc
0.669 0.669 0.000 Ru
```

---

four | The following is a DFT calculation (PBE) of CuTcRu after structural relaxation.

## Properties
The calculation puts the volume at 13.53 Å³ per atom. Its symmetry is C2 (5). The calculation puts the total magnetic moment at 0.0 μB per cell.

POSCAR file:
```
CuTcRu
1.0
4.025 -2.310 0.000
4.025 2.310 0.000
-2.847 0.000 4.366
Cu Tc Ru
2 2 2
Direct
0.000 0.000 0.000 Cu
0.836 0.164 0.500 Cu
0.166 0.498 0.503 Tc
0.502 0.834 0.497 Tc
0.336 0.333 0.005 Ru
0.667 0.664 0.995 Ru
```

---

Here is how they stack up, most stable first: three, four, one, two.

---

one | The following is a DFT calculation (PBE) of CuTcRu after structural relaxation.

## Properties
The calculation puts the volume at 13.67 Å³ per atom. Its symmetry is Cm (8). The calculation puts the total magnetic moment at 0.0 μB per cell.

POSCAR file:
```
CuTcRu
1.0
4.310 -1.887 0.000
4.310 1.887 0.000
-1.594 0.000 5.042
Cu Tc Ru
2 2 2
Direct
0.000 0.000 0.000 Cu
0.651 0.651 0.851 Cu
0.340 0.340 0.179 Tc
0.986 0.986 0.492 Tc
0.315 0.315 0.688 Ru
0.659 0.659 0.355 Ru
```

---

two | The following is a DFT calculation (PBE) of CuTcRu after structural relaxation.

## Properties
The calculation puts the volume at 13.61 Å³ per atom. Its symmetry is Amm2 (38). The calculation puts the total magnetic moment at 0.0 μB per cell.

POSCAR file:
```
CuTcRu
1.0
3.755 0.000 0.000
0.000 1.902 5.715
0.000 -1.902 5.715
Cu Tc Ru
2 2 2
Direct
0.000 0.000 0.000 Cu
0.500 0.162 0.162 Cu
0.000 0.325 0.325 Tc
0.000 0.671 0.671 Tc
0.500 0.498 0.498 Ru
0.500 0.833 0.833 Ru
```

---

Here is how they stack up, most stable first: one, two.

---

one | The following is a DFT calculation (PBE) of CuTcRu after structural relaxation.

## Properties
The calculation puts the volume at 13.64 Å³ per atom. Its symmetry is C2/m (12). The calculation puts the total magnetic moment at 0.0 μB per cell.

POSCAR file:
```
CuTcRu
1.0
4.430 -1.823 0.000
4.430 1.823 0.000
-2.038 0.000 5.065
Cu Tc Ru
2 2 2
Direct
0.167 0.167 0.342 Cu
0.833 0.833 0.658 Cu
0.169 0.169 0.842 Tc
0.831 0.831 0.158 Tc
0.500 0.500 0.000 Ru
0.500 0.500 0.500 Ru
```

---

two | The following is a DFT calculation (PBE) of CuTcRu after structural relaxation.

## Properties
The calculation puts the volume at 13.52 Å³ per atom. Its symmetry is Amm2 (38). The calculation puts the total magnetic moment at 0.0 μB per cell.

POSCAR file:
```
CuTcRu
1.0
4.401 0.000 0.000
0.000 3.953 2.332
0.000 -3.953 2.332
Cu Tc Ru
2 2 2
Direct
0.000 0.000 0.000 Cu
0.500 0.326 0.326 Cu
0.000 0.339 0.662 Tc
0.000 0.662 0.339 Tc
0.500 0.666 0.987 Ru
0.500 0.987 0.666 Ru
```

---

three | The following is a DFT calculation (PBE) of CuTcRu after structural relaxation.

## Properties
The calculation puts the volume at 14.19 Å³ per atom. Its symmetry is C2/m (12). The calculation puts the total magnetic moment at 0.0 μB per cell.

POSCAR file:
```
CuTcRu
1.0
4.740 -1.373 0.000
4.740 1.373 0.000
-2.295 0.000 6.546
Cu Tc Ru
2 2 2
Direct
0.129 0.129 0.460 Cu
0.871 0.871 0.540 Cu
0.392 0.392 0.219 Tc
0.608 0.608 0.781 Tc
0.351 0.351 0.864 Ru
0.649 0.649 0.136 Ru
```

---

Here is how they stack up, most stable first: two, one, three.